Entry 1:
Below is an optimized crystal structure of NpBSe3, with properties calculated at the PBE level.

abc: 8.8280 8.8280 8.8280
angles: 67.53 133.37 134.06
Fractional positions:
Np  0.0631  0.2500  0.3131
Np  0.9369  0.7500  0.6869
B  0.3994  0.1823  0.7172
B  0.4651  0.6823  0.2828
Se  0.1860  0.1934  0.7231
Se  0.1860  0.9629  0.4926
Se  0.4703  0.4629  0.2769
Se  0.4703  0.6934  0.5074
Se  0.4740  0.8882  0.0858
Se  0.8025  0.3882  0.9142

Properties
* size of the total moment: 8.02 Bohr magnetons per cell
* formation energy from raw total energies: -485 meV/atom
* E_tot: -6.500 eV per atom

=====

Entry 2:
Below is an optimized crystal structure of TmHf2Te6, with properties calculated at the PBE level.

abc: 7.0007 7.0007 12.5322
angles: 90.00 90.00 90.00
Fractional positions:
Tm  0.0000  0.0000  0.0000
Tm  0.5000  0.5000  0.5000
Hf  0.0000  0.0000  0.3332
Hf  0.0000  0.0000  0.6668
Hf  0.5000  0.5000  0.1668
Hf  0.5000  0.5000  0.8332
Te  0.1956  0.1956  0.5000
Te  0.2066  0.2066  0.1743
Te  0.2066  0.2066  0.8257
Te  0.2934  0.7066  0.3257
Te  0.2934  0.7066  0.6743
Te  0.3044  0.6956  0.0000
Te  0.6956  0.3044  0.0000
Te  0.7066  0.2934  0.3257
Te  0.7066  0.2934  0.6743
Te  0.7934  0.7934  0.1743
Te  0.7934  0.7934  0.8257
Te  0.8044  0.8044  0.5000

Properties
* size of the total moment: 0.00 Bohr magnetons per cell
* formation energy from raw total energies: -769 meV/atom
* E_tot: -5.572 eV per atom

=====

Entry 3:
Below is an optimized crystal structure of NaGaTe2I, with properties calculated at the PBE level.

abc: 5.5702 5.5702 6.1045
angles: 90.00 90.00 90.00
Fractional positions:
Na  0.0000  0.0000  0.0000
Ga  0.5000  0.5000  0.5000
Te  0.0000  0.5000  0.0000
Te  0.5000  0.0000  0.0000
I  0.0000  0.0000  0.5000

Properties
* size of the total moment: 0.11 Bohr magnetons per cell
* formation energy from raw total energies: 235 meV/atom
* E_tot: -2.201 eV per atom
* offset from the most stable computed form: 0.418 eV per atom

=====

Entry 4:
Below is an optimized crystal structure of ZrTcIr2, with properties calculated at the PBE level.

abc: 4.8362 4.8362 2.8682
angles: 90.00 90.00 108.05
Fractional positions:
Zr  0.0000  0.0000  0.0000
Tc  0.5000  0.5000  0.0000
Ir  0.0000  0.5000  0.5000
Ir  0.5000  0.0000  0.5000

Properties
* ΔE_f: -9.47 kcal/mol of atoms
* size of the total moment: 0.00 Bohr magnetons per cell
* E_tot: -9.569 eV per atom
* offset from the most stable computed form: 0.051 eV per atom

=====

Entry 5:
Below is an optimized crystal structure of Pr3Co5C2, with properties calculated at the PBE level.

abc: 8.9854 8.9854 8.9854
angles: 125.68 66.48 144.66
Fractional positions:
Pr  0.1671  0.6746  0.8418
Pr  0.2500  0.2500  0.0000
Pr  0.3329  0.1746  0.5075
Pr  0.6671  0.8254  0.4925
Pr  0.7500  0.7500  0.0000
Pr  0.8329  0.3254  0.1582
Co  0.0662  0.3110  0.3772
Co  0.0684  0.2500  0.8184
Co  0.2500  0.7500  0.5000
Co  0.4316  0.2500  0.1816
Co  0.4338  0.8110  0.2448
Co  0.5662  0.1890  0.7552
Co  0.5684  0.7500  0.8184
Co  0.7500  0.2500  0.5000
Co  0.9316  0.7500  0.1816
Co  0.9338  0.6890  0.6228
C  0.1486  0.1480  0.2966
C  0.3514  0.6480  0.9994
C  0.6486  0.3520  0.0006
C  0.8514  0.8520  0.7034

Properties
* ΔE_f: 2.31 kcal/mol of atoms
* size of the total moment: 5.60 Bohr magnetons per cell
* E_tot: -6.731 eV per atom

=====

Entry 6:
Below is an optimized crystal structure of YSnPd2, with properties calculated at the PBE level.

abc: 4.6154 4.6154 3.7629
angles: 90.00 90.00 90.00
Fractional positions:
Y  0.0000  0.0000  0.0000
Sn  0.5000  0.5000  0.0000
Pd  0.0000  0.5000  0.5000
Pd  0.5000  0.0000  0.5000

Properties
* ΔE_f: -17.19 kcal/mol of atoms
* size of the total moment: 0.00 Bohr magnetons per cell
* E_tot: -5.959 eV per atom

=====

Entry 7:
Below is an optimized crystal structure of Sr2AlAs, with properties calculated at the PBE level.

abc: 5.2222 5.2222 4.2565
angles: 90.00 90.00 90.28
Fractional positions:
Sr  0.0000  0.5000  0.0000
Sr  0.5000  0.0000  0.0000
Al  0.0000  0.0000  0.5000
As  0.5000  0.5000  0.5000

Properties
* ΔE_f: -11.03 kcal/mol of atoms
* size of the total moment: 0.00 Bohr magnetons per cell
* E_tot: -3.417 eV per atom
* offset from the most stable computed form: 0.175 eV per atom

=====

Entry 8:
Below is an optimized crystal structure of K2TbYO4, with properties calculated at the PBE level.

abc: 6.0593 3.4983 6.5839
angles: 90.00 107.84 90.00
Fractional positions:
K  0.0000  0.0000  0.0000
K  0.5000  0.5000  0.0000
Tb  0.0000  0.5000  0.5000
Y  0.5000  0.0000  0.5000
O  0.2292  0.0000  0.6862
O  0.2720  0.5000  0.3139
O  0.7280  0.5000  0.6861
O  0.7708  0.0000  0.3138

Properties
* size of the total moment: 0.00 Bohr magnetons per cell
* formation energy from raw total energies: -2747 meV/atom
* E_tot: -6.888 eV per atom

=====

Entry 9:
Below is an optimized crystal structure of RbTlSn2Cl6, with properties calculated at the PBE level.

abc: 9.5788 9.5788 9.2100
angles: 105.96 105.96 68.53
Fractional positions:
Rb  0.2197  0.7803  0.7500
Rb  0.7803  0.2197  0.2500
Tl  0.2912  0.7088  0.2500
Tl  0.7088  0.2912  0.7500
Sn  0.1859  0.3329  0.8455
Sn  0.3329  0.1859  0.3455
Sn  0.6671  0.8141  0.6545
Sn  0.8141  0.6671  0.1545
Cl  0.0242  0.7048  0.3959
Cl  0.0562  0.6266  0.9224
Cl  0.2952  0.9758  0.1041
Cl  0.3446  0.4000  0.7008
Cl  0.3734  0.9438  0.5776
Cl  0.4000  0.3446  0.2008
Cl  0.6000  0.6554  0.7992
Cl  0.6266  0.0562  0.4224
Cl  0.6554  0.6000  0.2992
Cl  0.7048  0.0242  0.8959
Cl  0.9438  0.3734  0.0776
Cl  0.9758  0.2952  0.6041

Properties
* size of the total moment: 0.00 Bohr magnetons per cell
* formation energy from raw total energies: -1202 meV/atom
* E_tot: -3.444 eV per atom